(1)
First-principles (PBE-GGA) data for crystalline CeTm2MgAu4 at its relaxed geometry, as listed in the Alexandria database.

a = 4.9585 Å, b = 4.9585 Å, c = 8.9011 Å
α = 73.83°, β = 73.83°, γ = 60.00°
With the nearest neighbours (Å) after each atom.
Fractional coordinates of all 8 atoms:
Au (0.8764, 0.8764, 0.3707)  4 Tm 2.98-3.00, 3 Mg 3.06, 1 Ce 3.12
Tm (0.2421, 0.2421, 0.2736)  7 Au 2.98-3.02
Au (0.1236, 0.1236, 0.6293)  4 Tm 2.98-3.00, 3 Mg 3.06, 1 Ce 3.12
Tm (0.7579, 0.7579, 0.7264)  7 Au 2.98-3.02
Au (0.3871, 0.3871, 0.8388)  1 Mg 2.86, 3 Tm 3.02, 3 Ce 3.17
Au (0.6129, 0.6129, 0.1612)  1 Mg 2.86, 3 Tm 3.02, 3 Ce 3.17
Mg (0.5000, 0.5000, 0.5000)  8 Au 2.86-3.06
Ce (0.0000, 0.0000, 0.0000)  8 Au 3.12-3.17

Calculated density in g cm⁻³: 11.94
Space group: R-3m, No. 166
ΔH_f (0 K) in eV per atom: -0.7364
Raw total energy in eV/atom: -4.43
Total moment in μB/atom: 0.116

(2)
First-principles (PBE-GGA) data for crystalline Dy5Y2Sc at its relaxed geometry, as listed in the Alexandria database.

a = 7.1775 Å, b = 7.1761 Å, c = 6.6407 Å
α = 105.65°, β = 105.66°, γ = 120.04°
With the nearest neighbours (Å) after each atom.
Fractional coordinates of all 8 atoms:
Y (0.2307, 0.8162, 0.4907)  1 Sc 3.43, 9 Dy 3.45-3.61, 2 Y 3.59
Dy (0.2369, 0.3187, 0.5000)  2 Sc 3.47, 6 Dy 3.48-3.59, 4 Y 3.57-3.61
Dy (0.3226, 0.7393, 0.0000)  4 Y 3.45-3.51, 6 Dy 3.48-3.63, 2 Sc 3.57-3.60
Dy (0.7369, 0.8188, 0.5000)  2 Sc 3.47, 6 Dy 3.48-3.59, 4 Y 3.57-3.61
Y (0.7400, 0.3255, 0.5093)  1 Sc 3.43, 9 Dy 3.45-3.61, 2 Y 3.59
Dy (0.3204, 0.2351, 0.0000)  8 Dy 3.48-3.61, 2 Y 3.51, 2 Sc 3.59
Dy (0.8165, 0.2331, 0.0000)  4 Y 3.45-3.51, 6 Dy 3.48-3.63, 2 Sc 3.57-3.60
Sc (0.8190, 0.7363, 0.0000)  2 Y 3.43, 10 Dy 3.47-3.60

Calculated density in g cm⁻³: 6.90
Space group: Fmm2, No. 42
ΔH_f (0 K) in eV per atom: 0.0166
E above lowest polymorph in eV per atom: 0.000
Raw total energy in eV/atom: -5.27
Total moment in μB/atom: 0.000

(3)
First-principles (PBE-GGA) data for crystalline ZnMoRh2 at its relaxed geometry, as listed in the Alexandria database.

a = 2.6968 Å, b = 2.6968 Å, c = 8.8811 Å
α = 90.00°, β = 90.00°, γ = 113.50°
With the nearest neighbours (Å) after each atom.
Fractional coordinates of all 4 atoms:
Zn (0.0000, 0.0000, 0.4917)  2 Rh 2.55, 4 Zn 2.70, 2 Mo 2.76
Mo (0.5000, 0.5000, 0.7538)  2 Rh 2.62, 4 Mo 2.70, 2 Zn 2.76
Rh (0.0000, 0.0000, 0.9969)  2 Mo 2.62, 6 Rh 2.70-2.75
Rh (0.5000, 0.5000, 0.2576)  2 Zn 2.55, 6 Rh 2.70-2.75

Calculated density in g cm⁻³: 10.29
Space group: Cmm2, No. 35
ΔH_f (0 K) in eV per atom: 0.0753
Raw total energy in eV/atom: -6.63
Total moment in μB/atom: 0.000

(4)
First-principles (PBE-GGA) data for crystalline Ba2MgHg2Au4 at its relaxed geometry, as listed in the Alexandria database.

a = 6.9855 Å, b = 6.9855 Å, c = 6.9855 Å
α = 92.02°, β = 118.84°, γ = 118.84°
With the nearest neighbours (Å) after each atom.
Fractional coordinates of all 9 atoms:
Au (0.0000, 0.2739, 0.7261)  1 Mg 2.75, 2 Hg 3.01
Mg (0.0000, 0.0000, 0.0000)  4 Au 2.75, 2 Hg 2.88
Au (0.0000, 0.7261, 0.2739)  1 Mg 2.75, 2 Hg 3.01
Hg (0.0000, 0.7027, 0.7027)  1 Mg 2.88, 4 Au 3.01
Ba (0.5000, 0.2500, 0.7500)  8 Au 3.50, 4 Hg 3.58
Ba (0.5000, 0.7500, 0.2500)  8 Au 3.50, 4 Hg 3.58
Hg (0.0000, 0.2973, 0.2973)  1 Mg 2.88, 4 Au 3.01
Au (0.5479, 0.2739, 0.2739)  1 Mg 2.75, 2 Hg 3.01
Au (0.4521, 0.7261, 0.7261)  1 Mg 2.75, 2 Hg 3.01

Calculated density in g cm⁻³: 10.08
Space group: I4/mmm, No. 139
ΔH_f (0 K) in eV per atom: -0.5361
Raw total energy in eV/atom: -2.66
Total moment in μB/atom: 0.000

(5)
First-principles (PBE-GGA) data for crystalline Co2TcP at its relaxed geometry, as listed in the Alexandria database.

a = 4.3810 Å, b = 4.3810 Å, c = 4.5930 Å
α = 70.28°, β = 70.28°, γ = 35.54°
With the nearest neighbours (Å) after each atom.
Fractional coordinates of all 4 atoms:
Co (0.9919, 0.9919, 0.9994)  2 P 2.23, 1 Tc 2.44
P (0.5055, 0.5055, 0.6026)  5 Co 2.22-2.46, 2 Tc 2.45
Co (0.7807, 0.7807, 0.6881)  3 P 2.22-2.46
Tc (0.2220, 0.2220, 0.2100)  5 Co 2.44-2.63, 2 P 2.45, 2 Tc 2.67

Calculated density in g cm⁻³: 8.55
Space group: Cm, No. 8
ΔH_f (0 K) in eV per atom: -0.1190
Raw total energy in eV/atom: -7.62
Total moment in μB/atom: 0.025

(6)
First-principles (PBE-GGA) data for crystalline Pm5Si2Sb at its relaxed geometry, as listed in the Alexandria database.

a = 7.8753 Å, b = 7.8753 Å, c = 9.0273 Å
α = 115.86°, β = 115.86°, γ = 90.00°
With the nearest neighbours (Å) after each atom.
Fractional coordinates of all 16 atoms:
Pm (0.3090, 0.8090, 0.2792)  3 Si 3.04-3.06, 2 Sb 3.32
Pm (0.1910, 0.0299, 0.7208)  3 Si 3.04-3.06, 2 Sb 3.32
Si (0.1233, 0.3767, 0.0000)  1 Si 2.75, 6 Pm 3.04-3.06
Si (0.6233, 0.1233, 0.0000)  1 Si 2.75, 6 Pm 3.04-3.06
Pm (0.9701, 0.4701, 0.2792)  3 Si 3.04-3.06, 2 Sb 3.32
Sb (0.7500, 0.7500, 0.5000)  10 Pm 3.32-3.55
Sb (0.2500, 0.2500, 0.5000)  10 Pm 3.32-3.55
Si (0.8767, 0.6233, 0.0000)  1 Si 2.75, 6 Pm 3.04-3.06
Pm (0.6910, 0.1910, 0.7208)  3 Si 3.04-3.06, 2 Sb 3.32
Si (0.3767, 0.8767, 0.0000)  1 Si 2.75, 6 Pm 3.04-3.06
Pm (0.8090, 0.9701, 0.2792)  3 Si 3.04-3.06, 2 Sb 3.32
Pm (0.0000, 0.0000, 0.0000)  4 Si 3.12
Pm (0.4701, 0.3090, 0.2792)  3 Si 3.04-3.06, 2 Sb 3.32
Pm (0.5000, 0.5000, 0.0000)  4 Si 3.12
Pm (0.5299, 0.6910, 0.7208)  3 Si 3.04-3.06, 2 Sb 3.32
Pm (0.0299, 0.5299, 0.7208)  3 Si 3.04-3.06, 2 Sb 3.32

Formation energy without anion corrections in eV per atom: -0.729
Calculated density in g cm⁻³: 6.81
Space group: I4/mcm, No. 140
Raw total energy in eV/atom: -5.57
Total moment in μB/atom: 0.249

(7)
First-principles (PBE-GGA) data for crystalline Ca2SiP at its relaxed geometry, as listed in the Alexandria database.

a = 7.8653 Å, b = 7.8653 Å, c = 6.4037 Å
α = 52.11°, β = 52.11°, γ = 90.00°
With the nearest neighbours (Å) after each atom.
Fractional coordinates of all 8 atoms:
Ca (0.1023, 0.6250, 0.2500)  2 P 2.77, 2 Si 3.02
Ca (0.8750, 0.8977, 0.7500)  2 P 2.77, 2 Si 3.02
Si (0.5000, 0.5000, 0.0000)  4 Ca 3.02, 2 P 3.17
Ca (0.3750, 0.3523, 0.7500)  2 P 2.77, 2 Si 3.02
Si (0.2500, 0.7500, 0.5000)  4 Ca 3.02, 2 P 3.17
Ca (0.6477, 0.1250, 0.2500)  2 P 2.77, 2 Si 3.02
P (0.7500, 0.2500, 0.5000)  4 Ca 2.77
P (0.0000, 0.0000, 0.0000)  4 Ca 2.77

Formation energy without anion corrections in eV per atom: -0.259
Calculated density in g cm⁻³: 2.35
Space group: I-42d, No. 122
E above lowest polymorph in eV per atom: 0.293
Raw total energy in eV/atom: -3.97
Total moment in μB/atom: 0.000

(8)
First-principles (PBE-GGA) data for crystalline KZnPb3 at its relaxed geometry, as listed in the Alexandria database.

a = 6.0744 Å, b = 6.0744 Å, c = 6.0744 Å
α = 90.00°, β = 90.00°, γ = 90.00°
With the nearest neighbours (Å) after each atom.
Fractional coordinates of all 5 atoms:
Pb (0.0000, 0.0000, 0.5000)  2 K 3.04
Pb (0.5000, 0.0000, 0.0000)  2 K 3.04
K (0.0000, 0.0000, 0.0000)  6 Pb 3.04
Zn (0.5000, 0.5000, 0.5000)  12 Pb 4.30
Pb (0.0000, 0.5000, 0.0000)  2 K 3.04

Calculated density in g cm⁻³: 5.38
Space group: Pm-3m, No. 221
ΔH_f (0 K) in eV per atom: 1.0377
E above lowest polymorph in eV per atom: 1.091
Raw total energy in eV/atom: -1.66
Total moment in μB/atom: 0.000

(9)
First-principles (PBE-GGA) data for crystalline Sm3BiSe6 at its relaxed geometry, as listed in the Alexandria database.

a = 4.2484 Å, b = 11.9445 Å, c = 12.0868 Å
α = 109.16°, β = 90.00°, γ = 90.00°
With the nearest neighbours (Å) after each atom.
Fractional coordinates of all 20 atoms:
Se (0.7500, 0.3981, 0.0664)  4 Sm 2.89-2.96
Se (0.2500, 0.5143, 0.3814)  4 Sm 2.86-3.03
Sm (0.7500, 0.6694, 0.4952)  5 Se 2.86-3.03
Se (0.2500, 0.6019, 0.9336)  4 Sm 2.89-2.96
Bi (0.7500, 0.0163, 0.6825)  4 Se 2.89-3.14
Sm (0.2500, 0.3306, 0.5048)  5 Se 2.86-3.03
Se (0.7500, 0.9201, 0.0957)  3 Sm 2.92-2.94
Sm (0.7500, 0.4255, 0.8338)  6 Se 2.92-2.96
Se (0.7500, 0.4857, 0.6186)  4 Sm 2.86-3.03
Se (0.7500, 0.8031, 0.7457)  1 Bi 2.89, 3 Sm 2.92-2.94
Se (0.2500, 0.8860, 0.5291)  3 Bi 2.91-3.14
Sm (0.2500, 0.8402, 0.9223)  6 Se 2.89-2.94
Se (0.2500, 0.2609, 0.7188)  3 Sm 2.92-2.97
Se (0.7500, 0.1140, 0.4709)  3 Bi 2.91-3.14
Sm (0.7500, 0.1598, 0.0777)  6 Se 2.89-2.94
Se (0.2500, 0.0799, 0.9043)  3 Sm 2.92-2.94
Se (0.7500, 0.7391, 0.2812)  3 Sm 2.92-2.97
Bi (0.2500, 0.9837, 0.3175)  4 Se 2.89-3.14
Se (0.2500, 0.1969, 0.2543)  1 Bi 2.89, 3 Sm 2.92-2.94
Sm (0.2500, 0.5745, 0.1662)  6 Se 2.92-2.96

Formation energy without anion corrections in eV per atom: -1.467
Calculated density in g cm⁻³: 6.50
Space group: P2_1/m, No. 11
Raw total energy in eV/atom: -5.36
Total moment in μB/atom: 0.000

(10)
First-principles (PBE-GGA) data for crystalline LaTb2Y at its relaxed geometry, as listed in the Alexandria database.

a = 5.0804 Å, b = 7.2609 Å, c = 7.2131 Å
α = 90.00°, β = 90.00°, γ = 90.00°
With the nearest neighbours (Å) after each atom.
Fractional coordinates of all 8 atoms:
Y (0.0000, 0.2500, 0.4998)  8 Tb 3.59, 2 La 3.61, 2 Y 3.63
La (0.0001, 0.2500, 0.9998)  2 Y 3.61, 8 Tb 3.62, 2 La 3.63
Tb (0.5000, 0.5000, 0.7455)  4 Tb 3.54-3.67, 4 Y 3.59, 4 La 3.62
Tb (0.5000, 0.5000, 0.2545)  4 Tb 3.54-3.67, 4 Y 3.59, 4 La 3.62
Tb (0.5000, 0.0000, 0.7455)  4 Tb 3.54-3.67, 4 Y 3.59, 4 La 3.62
La (0.9999, 0.7500, 0.0002)  2 Y 3.61, 8 Tb 3.62, 2 La 3.63
Tb (0.5000, 0.0000, 0.2545)  4 Tb 3.54-3.67, 4 Y 3.59, 4 La 3.62
Y (0.0000, 0.7500, 0.5002)  8 Tb 3.59, 2 La 3.61, 2 Y 3.63

Calculated density in g cm⁻³: 6.81
Space group: Pmmm, No. 47
ΔH_f (0 K) in eV per atom: 0.0216
E above lowest polymorph in eV per atom: 0.015
Raw total energy in eV/atom: -5.14
Total moment in μB/atom: 0.000